# MnOF

A geometry-optimized MnOF structure (PBE with a Hubbard U, the Alexandria database).

a b c (Å): 4.6576 7.6201 7.6953
angles (deg): 84.99 88.79 89.42
Last column: nearest neighbours and their distance in Å.
Atoms (fractional coordinates):
Mn  0.0353  0.5550  0.2881  3 O 1.93-1.98, 1 F 2.07
Mn  0.5658  0.8033  0.5497  3 O 1.91-2.02, 2 F 1.99-2.02
Mn  0.4373  0.2923  0.0570  3 O 1.92-2.03, 2 F 2.01-2.02
Mn  0.0118  0.4659  0.7086  3 O 1.91-1.97, 1 F 2.07
Mn  0.4862  0.2078  0.4683  3 O 1.97-2.00, 3 F 2.16-2.19
Mn  0.0151  0.9398  0.1936  3 O 1.92-1.96, 1 F 2.04
Mn  0.4792  0.6917  0.9395  3 O 1.93-1.98, 2 F 2.04-2.11
Mn  0.9866  0.0631  0.7923  3 O 1.95-2.02, 3 F 2.06-2.10
F  0.2526  0.8523  0.7513  3 Mn 2.06-2.16
F  0.7299  0.1343  0.2440  3 Mn 2.04-2.26
F  0.7419  0.8997  0.9679  3 Mn 2.04-2.22
F  0.3027  0.9625  0.4069  3 Mn 1.99-2.16
F  0.2899  0.6061  0.5157  3 Mn 2.02-2.20
F  0.7953  0.4202  0.4843  3 Mn 2.07-2.19
F  0.7142  0.2702  0.8566  2 Mn 2.01-2.10
F  0.7112  0.4855  0.1035  3 Mn 2.02-2.21
O  0.8147  0.7610  0.3389  3 Mn 1.92-2.02
O  0.2645  0.3362  0.2781  3 Mn 1.92-1.99
O  0.7340  0.6584  0.7358  3 Mn 1.91-1.98
O  0.2445  0.4900  0.9067  3 Mn 1.91-2.03
O  0.7320  0.0279  0.6004  3 Mn 1.95-2.00
O  0.2105  0.2460  0.6594  3 Mn 1.95-1.97
O  0.2003  0.0975  0.0122  3 Mn 1.92-2.02
O  0.2447  0.7334  0.1411  3 Mn 1.93-1.96

## Properties
- Magnetization: 4.0 μB per formula unit
- Total energy: -6.717 eV per atom